Entry 1:
VASP calculation (PBE) on an optimized crystal structure of IrOsSeN2.

Unit cell a=3.676 b=3.676 c=7.477 alpha=90.00 beta=90.00 gamma=90.00
Sites, in units of the cell vectors:
Ir 0.000 0.000 0.000
N 0.000 0.500 0.000
N 0.500 0.000 0.000
Os 0.500 0.500 0.500
Se 0.000 0.000 0.500

Output
As for the total energy: -0.483 Ry per atom. Its space-group type is P4/mmm. As for the polymorph energy (0 for the lowest one): 368 meV per atom. Its uncorrected formation energy is 7.34 eV per formula unit.



Entry 2:
VASP calculation (PBE) on an optimized crystal structure of Li2SnH6O6.

Unit cell a=5.493 b=5.215 c=10.050 alpha=66.17 beta=90.00 gamma=90.00
Sites, in units of the cell vectors:
H 0.750 0.555 0.267
H 0.434 0.345 0.927
H 0.750 0.555 0.767
H 0.066 0.345 0.427
H 0.566 0.655 0.073
H 0.934 0.655 0.573
H 0.674 0.997 0.623
H 0.174 0.003 0.877
H 0.326 0.003 0.377
H 0.250 0.445 0.733
H 0.250 0.445 0.233
H 0.826 0.997 0.123
Li 0.748 0.055 0.347
Li 0.248 0.945 0.153
Li 0.252 0.945 0.653
Li 0.752 0.055 0.847
O 0.267 0.264 0.946
O 0.251 0.587 0.132
O 0.916 0.111 0.166
O 0.767 0.736 0.554
O 0.084 0.889 0.834
O 0.233 0.264 0.446
O 0.416 0.889 0.334
O 0.584 0.111 0.666
O 0.733 0.736 0.054
O 0.249 0.587 0.632
O 0.751 0.413 0.368
O 0.749 0.413 0.868
Sn 0.000 0.500 0.000
Sn 0.500 0.500 0.500

Output
As for the total energy: -0.386 Ry per atom. Its space-group type is P2_1/c.



Entry 3:
VASP calculation (PBE) on an optimized crystal structure of K2YTe.

Unit cell a=3.987 b=3.987 c=11.318 alpha=90.00 beta=90.00 gamma=90.00
Sites, in units of the cell vectors:
Te 0.000 0.000 0.547
Y 0.500 0.500 0.670
K 0.500 0.500 0.323
K 0.000 0.000 0.960

Output
As for the total energy: -0.251 Ry per atom. Its space-group type is P4mm. Its uncorrected formation energy is -1.87 eV per formula unit.